Entry from Alexandria: crystalline CrCd2Ru at its relaxed geometry (PBE).

Energy above the most stable polymorph in this dataset = 0 meV per atom
Calculated total energy = -5.02 eV per atom
Formation energy = 161 meV/atom
SG = P4mm (99)

abc: 2.929 2.929 7.891
angles: 90.00 90.00 90.00
Fractional coordinates of all 4 atoms:
Cr  0.000  0.000  0.000
Cd  0.000  0.000  0.432
Cd  0.500  0.500  0.743
Ru  0.500  0.500  0.165



Entry from Alexandria: crystalline SrAlZnAg6 at its relaxed geometry (PBE).

Calculated total energy = -2.59 eV per atom
Formation energy = 55 meV/atom
SG = Imma (74)

abc: 8.249 8.249 8.249
angles: 127.90 111.40 91.20
Fractional coordinates of all 18 atoms:
Sr  0.456  0.206  0.250
Sr  0.544  0.794  0.750
Al  0.000  0.000  0.000
Al  0.500  0.000  0.500
Zn  0.000  0.000  0.500
Zn  0.000  0.500  0.000
Ag  0.115  0.430  0.294
Ag  0.115  0.820  0.684
Ag  0.162  0.912  0.250
Ag  0.258  0.508  0.750
Ag  0.364  0.180  0.794
Ag  0.364  0.570  0.184
Ag  0.636  0.430  0.816
Ag  0.636  0.820  0.206
Ag  0.742  0.492  0.250
Ag  0.838  0.088  0.750
Ag  0.885  0.180  0.316
Ag  0.885  0.570  0.706



Entry from Alexandria: crystalline Na3BiPd8 at its relaxed geometry (PBE).

Calculated total energy = -4.29 eV per atom
Formation energy = -180 meV/atom
SG = R3m (160)

abc: 9.350 9.350 9.350
angles: 33.59 33.59 33.59
Fractional coordinates of all 12 atoms:
Na  0.000  0.000  0.000
Na  0.122  0.122  0.122
Na  0.629  0.629  0.629
Bi  0.502  0.502  0.502
Pd  0.063  0.063  0.561
Pd  0.063  0.561  0.063
Pd  0.066  0.563  0.563
Pd  0.313  0.313  0.313
Pd  0.561  0.063  0.063
Pd  0.563  0.066  0.563
Pd  0.563  0.563  0.066
Pd  0.813  0.813  0.813



For the records above, the corresponding magnetization values read 0.0; 0.0; 0.0 μB/f.u..